NiTe3I: optimized geometry, GGA-PBE.

Cell: 5.110 5.110 5.110 Å, 90.00 90.00 90.00°
Fractional coordinates of all 5 atoms:
1 Ni 0.000 0.000 0.000
2 Te 0.000 0.000 0.500
3 Te 0.000 0.500 0.000
4 Te 0.500 0.000 0.000
5 I 0.500 0.500 0.500

Computed properties:
space-group type: Pm-3m (221)
polymorph energy (0 for the lowest one): 401 meV/atom
energy relative to the elements, uncorrected: 297.6 meV per atom

YEr2Cd: optimized geometry, GGA-PBE.

Cell: 5.419 5.419 5.419 Å, 60.00 60.00 60.00°
Fractional coordinates of all 4 atoms:
1 Y 0.000 0.000 0.000
2 Er 0.250 0.250 0.250
3 Er 0.750 0.750 0.750
4 Cd 0.500 0.500 0.500

Computed properties:
energy relative to the elements: 0.01 eV per atom
space-group type: Fm-3m (225)
polymorph energy (0 for the lowest one): 172 meV/atom

PrErZn3: optimized geometry, GGA-PBE.

Cell: 8.786 8.786 6.211 Å, 109.78 109.78 31.00°
Fractional coordinates of all 10 atoms:
1 Pr 0.077 0.077 0.334
2 Pr 0.923 0.923 0.666
3 Er 0.299 0.299 0.874
4 Er 0.701 0.701 0.126
5 Zn 0.121 0.121 0.872
6 Zn 0.284 0.284 0.389
7 Zn 0.436 0.436 0.317
8 Zn 0.564 0.564 0.683
9 Zn 0.716 0.716 0.611
10 Zn 0.879 0.879 0.128

Computed properties:
energy relative to the elements: -0.25 eV per atom
space-group type: C2/m (12)

TaP2W: optimized geometry, GGA-PBE.

Cell: 4.049 3.115 5.154 Å, 90.00 109.70 90.00°
Fractional coordinates of all 4 atoms:
1 Ta 0.000 0.000 0.000
2 P 0.000 0.000 0.500
3 P 0.500 0.500 0.000
4 W 0.500 0.500 0.500

Computed properties:
energy relative to the elements: -0.06 eV per atom
space-group type: P2/m (10)